Below is Pm5HfPb4 after structural relaxation, with properties calculated at the GGA-PBE level.

Unit cell a=9.9332 b=9.9332 c=8.9009 alpha=106.85 beta=106.85 gamma=23.71
With the nearest neighbours (Å) after each atom.
Fractional positions:
Pm  0.0000  0.0000  0.0000  4 Pb 3.12
Pm  0.3281  0.3281  0.1278  3 Pb 3.18-3.23
Pm  0.3305  0.3305  0.6926  4 Pb 3.14-3.25
Pm  0.6695  0.6695  0.3074  4 Pb 3.14-3.25
Pm  0.6719  0.6719  0.8722  3 Pb 3.18-3.23
Hf  0.0000  0.0000  0.5000  6 Pb 2.93-3.01
Pb  0.1616  0.1616  0.5853  1 Hf 3.01, 5 Pm 3.14-3.25
Pb  0.4989  0.4989  0.2638  2 Hf 2.93, 4 Pm 3.12-3.22
Pb  0.5011  0.5011  0.7362  2 Hf 2.93, 4 Pm 3.12-3.22
Pb  0.8384  0.8384  0.4147  1 Hf 3.01, 5 Pm 3.14-3.25

## Properties
As for the symmetry: C2/m (12). The crystal system is monoclinic. The calculation puts the energy of formation from the pure elements at -0.1131 eV per atom.

***

Below is Hf8Ga2Co3 after structural relaxation, with properties calculated at the GGA-PBE level.

Unit cell a=8.1395 b=8.1395 c=5.4422 alpha=96.10 beta=96.10 gamma=44.48
With the nearest neighbours (Å) after each atom.
Fractional positions:
Hf  0.0570  0.0570  0.2832  2 Co 2.52, 1 Ga 2.67
Hf  0.1275  0.6264  0.1711  2 Co 2.47-2.66, 1 Ga 2.74
Hf  0.3324  0.3324  0.6674  1 Ga 2.86, 3 Co 2.93-2.98, 2 Hf 3.15
Hf  0.3736  0.8725  0.8289  2 Co 2.47-2.66, 1 Ga 2.74
Hf  0.6264  0.1275  0.1711  2 Co 2.47-2.66, 1 Ga 2.74
Hf  0.6676  0.6676  0.3326  1 Ga 2.86, 3 Co 2.93-2.98, 2 Hf 3.15
Hf  0.8725  0.3736  0.8289  2 Co 2.47-2.66, 1 Ga 2.74
Hf  0.9430  0.9430  0.7168  2 Co 2.52, 1 Ga 2.67
Ga  0.2279  0.2279  0.1949  6 Hf 2.67-2.86
Ga  0.7721  0.7721  0.8051  6 Hf 2.67-2.86
Co  0.3245  0.6755  0.5000  1 Co 2.16
Co  0.5000  0.5000  0.0000  6 Hf 2.66-2.93, 4 Co 2.93
Co  0.6755  0.3245  0.5000  1 Co 2.16

## Properties
As for the symmetry: C2/m (12). The crystal system is monoclinic. The calculation puts the energy of formation from the pure elements at -0.1475 eV per atom.